# 1
12
Lattice="4.699 0.024 -0.003 0.067 4.693 -0.006 0.004 0.007 5.947" Properties=species:S:1:pos:R:3 comment="GGA-PBE NaTcGe2O8, optimized geometry" total_energy_ev_per_atom=-6.39 spacegroup="Cmmm (65)" formation_energy_uncorrected_mev_per_atom=-1336.7 m_tot_mub_per_atom=0.00 pbc="T T T"
O 3.288 3.259 -0.006
O 3.239 3.213 2.967
O 1.481 1.465 5.944
O 3.759 0.978 1.267
Na 0.002 0.003 2.973
O 3.761 0.982 4.672
Tc 0.000 0.000 0.000
O 1.008 3.742 1.266
O 1.531 1.511 2.970
Ge 2.386 2.364 4.391
O 1.011 3.746 4.671
Ge 2.384 2.360 1.546

# 2
20
Lattice="-1.752 -4.140 3.512 4.158 1.037 5.886 -5.154 3.317 3.929" Properties=species:S:1:pos:R:3 comment="GGA-PBE NaGe2TeO6, optimized geometry" n_ef_per_ev_cell=0.9 total_energy_ev_per_atom=-5.72 spacegroup="C2/c (15)" formation_energy_uncorrected_mev_per_atom=-1380.3 m_tot_mub_per_atom=0.10 pbc="T T T"
Te -2.954 1.636 5.361
Ge 0.213 0.088 3.622
O -4.821 2.172 6.281
O -3.696 -0.403 5.277
O -2.243 -2.509 6.531
Ge -2.389 -1.560 5.016
O -0.903 -0.552 4.873
Te 0.205 -1.422 7.965
O -4.357 1.901 3.754
Na -5.521 -0.020 6.762
O 1.608 -1.687 9.572
O -0.505 2.722 6.795
O 1.687 0.563 4.468
Na 2.773 0.234 6.565
Ge -0.359 1.774 8.311
Ge -2.961 0.126 9.704
O 0.948 0.617 8.049
O -1.846 0.766 8.454
O 2.073 -1.959 7.046
O -4.436 -0.350 8.858

Copy entry 2 word for word.
20
Lattice="-1.752 -4.140 3.512 4.158 1.037 5.886 -5.154 3.317 3.929" Properties=species:S:1:pos:R:3 comment="GGA-PBE NaGe2TeO6, optimized geometry" n_ef_per_ev_cell=0.9 total_energy_ev_per_atom=-5.72 spacegroup="C2/c (15)" formation_energy_uncorrected_mev_per_atom=-1380.3 m_tot_mub_per_atom=0.10 pbc="T T T"
Te -2.954 1.636 5.361
Ge 0.213 0.088 3.622
O -4.821 2.172 6.281
O -3.696 -0.403 5.277
O -2.243 -2.509 6.531
Ge -2.389 -1.560 5.016
O -0.903 -0.552 4.873
Te 0.205 -1.422 7.965
O -4.357 1.901 3.754
Na -5.521 -0.020 6.762
O 1.608 -1.687 9.572
O -0.505 2.722 6.795
O 1.687 0.563 4.468
Na 2.773 0.234 6.565
Ge -0.359 1.774 8.311
Ge -2.961 0.126 9.704
O 0.948 0.617 8.049
O -1.846 0.766 8.454
O 2.073 -1.959 7.046
O -4.436 -0.350 8.858